Record 1
Na2Cl (GGA-PBE, relaxed); total energy = -0.0951 hartree per atom; formation energy from raw total energies = -1.093 eV/atom; density of states at the Fermi level = 0.415 states/eV per atom; ΔE to the lowest computed polymorph = 0 meV per atom; crystal system = trigonal
1.0
7.039 -0.017 -0.010
5.950 3.762 -0.010
5.950 1.715 3.348
Cl Na
1 2
direct
0.000 0.000 0.000
0.752 0.752 0.752
0.248 0.248 0.248



Record 2
NaCl3 (GGA-PBE, relaxed); total energy = -0.0798 hartree per atom; formation energy from raw total energies = -0.456 eV/atom; density of states at the Fermi level = 0.332 states/eV per atom; ΔE to the lowest computed polymorph = 419 meV per atom; crystal system = tetragonal
1.0
-5.642 0.406 -0.275
-0.475 -3.758 4.210
-2.891 4.257 7.283
Cl Na
6 2
direct
0.875 0.861 0.750
0.000 0.000 0.000
0.375 0.389 0.750
0.139 0.625 0.250
0.611 0.125 0.250
0.750 0.250 0.500
0.500 0.500 0.000
0.250 0.750 0.500